Entry 1:
MgTaSb: optimized geometry, GGA-PBE.

POSCAR file:
```
MgTaSb
1.0
3.196 0.000 0.000
-1.598 2.768 0.000
0.000 0.000 7.271
Mg Ta Sb
1 1 1
Cartesian
0.000 0.000 0.000 Mg
0.000 1.845 4.946 Ta
1.598 0.923 2.647 Sb
```

Values from the calculation:
Distance to the lowest polymorph of the same formula: 383 meV/atom
ΔE_f (raw): 232 meV per atom
Symmetry: P3m1 (156)
VASP energy: -5.62 eV/atom
Density of states at the Fermi level: 4.06 states/eV per cell
Crystal system: trigonal

***

Entry 2:
MgTa2Sb: optimized geometry, GGA-PBE.

POSCAR file:
```
MgTa2Sb
1.0
0.000 3.369 3.369
3.369 0.000 3.369
3.369 3.369 0.000
Mg Ta Sb
1 2 1
Cartesian
0.000 0.000 0.000 Mg
1.684 1.684 1.684 Ta
3.369 3.369 3.369 Ta
5.053 5.053 5.053 Sb
```

Values from the calculation:
Distance to the lowest polymorph of the same formula: 290 meV/atom
ΔE_f (raw): 346 meV per atom
Symmetry: F-43m (216)
VASP energy: -7.01 eV/atom
Density of states at the Fermi level: 5.21 states/eV per cell
Crystal system: cubic

***

Entry 3:
MgTaSb2: optimized geometry, GGA-PBE.

POSCAR file:
```
MgTaSb2
1.0
-1.812 1.940 6.874
1.812 -1.940 6.874
1.812 1.940 -6.874
Mg Ta Sb
1 1 2
Cartesian
0.000 0.000 0.000 Mg
0.000 1.940 3.435 Ta
1.812 0.000 4.507 Sb
0.000 0.000 8.191 Sb
```

Values from the calculation:
ΔE_f (raw): 75 meV per atom
Symmetry: Imm2 (44)
VASP energy: -5.35 eV/atom
Density of states at the Fermi level: 2.73 states/eV per cell
Crystal system: orthorhombic

***

Entry 4:
MgTa2Sb: optimized geometry, GGA-PBE.

POSCAR file:
```
MgTa2Sb
1.0
-1.849 2.309 4.549
1.849 -2.309 4.549
1.849 2.309 -4.549
Mg Ta Sb
1 2 1
Cartesian
0.000 0.000 0.000 Mg
0.000 0.000 4.654 Ta
0.000 2.309 2.191 Ta
1.849 0.000 2.333 Sb
```

Values from the calculation:
Distance to the lowest polymorph of the same formula: 151 meV/atom
ΔE_f (raw): 207 meV per atom
Symmetry: Imm2 (44)
VASP energy: -7.15 eV/atom
Density of states at the Fermi level: 3.27 states/eV per cell
Crystal system: orthorhombic

***

Entry 5:
MgTa2Sb2: optimized geometry, GGA-PBE.

POSCAR file:
```
MgTa2Sb2
1.0
7.799 0.000 0.000
0.000 7.799 0.000
0.000 0.000 3.473
Mg Ta Sb
2 4 4
Cartesian
0.000 0.000 0.000 Mg
3.899 3.899 0.000 Mg
1.074 2.825 1.737 Ta
2.825 6.725 1.737 Ta
4.974 1.074 1.737 Ta
6.725 4.974 1.737 Ta
1.200 5.100 0.000 Sb
2.699 1.200 0.000 Sb
5.100 6.599 0.000 Sb
6.599 2.699 0.000 Sb
```

Values from the calculation:
ΔE_f (raw): 194 meV per atom
Symmetry: P4/mbm (127)
VASP energy: -6.51 eV/atom
Density of states at the Fermi level: 2.96 states/eV per cell
Crystal system: tetragonal

***

Entry 6:
MgTa2Sb: optimized geometry, GGA-PBE.

POSCAR file:
```
MgTa2Sb
1.0
2.976 0.000 0.000
0.000 2.976 0.000
0.000 0.000 9.720
Mg Ta Sb
1 2 1
Cartesian
0.000 0.000 0.000 Mg
0.000 0.000 5.305 Ta
1.488 1.488 7.539 Ta
1.488 1.488 3.091 Sb
```

Values from the calculation:
Distance to the lowest polymorph of the same formula: 210 meV/atom
ΔE_f (raw): 266 meV per atom
Symmetry: P4mm (99)
VASP energy: -7.09 eV/atom
Density of states at the Fermi level: 4.31 states/eV per cell
Crystal system: tetragonal

***

Entry 7:
MgTaSb2: optimized geometry, GGA-PBE.

POSCAR file:
```
MgTaSb2
1.0
-2.055 2.568 4.065
2.055 -2.568 4.065
2.055 2.568 -4.065
Mg Ta Sb
1 1 2
Cartesian
0.000 0.000 0.000 Mg
0.000 0.000 4.065 Ta
2.055 0.000 1.956 Sb
0.000 2.568 2.110 Sb
```

Values from the calculation:
ΔE_f (raw): 166 meV per atom
Symmetry: Immm (71)
VASP energy: -5.26 eV/atom
Density of states at the Fermi level: 1.90 states/eV per cell
Crystal system: orthorhombic

***

Entry 8:
MgTa2Sb: optimized geometry, GGA-PBE.

POSCAR file:
```
MgTa2Sb
1.0
4.981 -1.502 0.000
4.981 1.502 0.000
-0.729 0.000 5.203
Mg Ta Sb
1 2 1
Cartesian
0.000 0.000 0.000 Mg
1.938 0.000 3.978 Ta
4.551 0.000 2.641 Ta
7.289 0.000 1.385 Sb
```

Values from the calculation:
Distance to the lowest polymorph of the same formula: 199 meV/atom
ΔE_f (raw): 255 meV per atom
Symmetry: Cm (8)
VASP energy: -7.10 eV/atom
Density of states at the Fermi level: 2.68 states/eV per cell
Crystal system: monoclinic